Version P
Material: Ca3PdRh
Method: DFT, GGA-PBE
State: relaxed

extended XYZ file:
```
5
Lattice="-3.260 4.130 0.752 -2.354 -2.587 4.002 3.476 2.122 3.416" Properties=species:S:1:pos:R:3 pbc="T T T"
Ca 1.738 1.061 1.708
Rh 0.000 0.000 0.000
Pd -1.069 1.832 4.085
Ca -1.177 -1.294 2.001
Ca -1.630 2.065 0.376
```

Calculated values
Crystal system: cubic
SG: No. 221



Version Q
Material: Ca3PdRh
Method: DFT, GGA-PBE
State: relaxed

extended XYZ file:
```
10
Lattice="5.690 0.027 -1.151 -2.669 5.024 -1.152 -0.018 -0.032 8.579" Properties=species:S:1:pos:R:3 pbc="T T T"
Rh 2.265 3.788 -1.727
Ca -0.398 4.079 -0.249
Ca 3.143 3.951 4.115
Ca -0.140 1.069 2.160
Ca 2.518 2.909 1.010
Ca 0.485 2.111 5.266
Pd 3.475 1.067 3.226
Ca 3.401 0.941 6.524
Pd -0.473 3.953 3.049
Rh 0.755 1.263 -0.576
```

Calculated values
Crystal system: orthorhombic
SG: No. 69



Which is most stable, and by how much? version Q, by 32.4 kJ/mol of atoms.



Version P
Material: CaThPdRh
Method: DFT, GGA-PBE
State: relaxed

extended XYZ file:
```
4
Lattice="-4.611 1.931 0.231 -3.664 -1.928 -2.811 -3.697 -2.600 2.148" Properties=species:S:1:pos:R:3 pbc="T T T"
Th -2.993 -0.649 -0.108
Ca -8.979 -1.948 -0.324
Pd 0.000 0.000 0.000
Rh -5.986 -1.299 -0.216
```

Calculated values
Crystal system: cubic
SG: No. 216



Version Q
Material: CaThPdRh
Method: DFT, GGA-PBE
State: relaxed

extended XYZ file:
```
4
Lattice="3.891 0.000 0.000 0.000 4.230 0.000 -1.945 0.000 5.642" Properties=species:S:1:pos:R:3 pbc="T T T"
Th 1.945 2.115 4.140
Rh 0.000 0.000 4.605
Pd 1.945 2.115 0.940
Ca 0.000 0.000 1.600
```

Calculated values
Crystal system: orthorhombic
SG: No. 38



Which is most stable, and by how much? version Q, by 9.7 kJ/mol of atoms.